# Nd6ZnNi2Br3 (PBE, optimized geometry)
data_Nd6ZnNi2Br3
_chemical_formula_sum 'Nd12 Zn2 Ni4 Br6'
_symmetry_space_group_name_H-M 'C 1 2/m 1'
_symmetry_Int_Tables_number 12
_cell_length_a 7.1963
_cell_length_b 12.3492
_cell_length_c 7.9805
_cell_angle_alpha 90.00
_cell_angle_beta 107.46
_cell_angle_gamma 90.00
loop_
_symmetry_equiv_pos_as_xyz
'x,y,z'
'-x,-y,-z'
'-x,y,-z'
'x,-y,z'
'x+1/2,y+1/2,z'
'-x+1/2,-y+1/2,-z'
'-x+1/2,y+1/2,-z'
'x+1/2,-y+1/2,z'
loop_
_atom_site_label
_atom_site_type_symbol
_atom_site_fract_x
_atom_site_fract_y
_atom_site_fract_z
Nd1 Nd 0.2113 0.0000 0.2019
Nd2 Nd 0.2499 0.1773 0.7902
Zn1 Zn 0.0000 0.5000 0.0000
Ni1 Ni 0.0000 0.1698 0.0000
Br1 Br 0.0000 0.0000 0.5000
Br2 Br 0.0000 0.3399 0.5000
# **Electronic total energy**: -0.339 Ry/atom
# **ΔE_f (raw)**: -743.6 meV per atom

# Nd2BrO (PBE, optimized geometry)
data_Nd2BrO
_chemical_formula_sum 'Nd6 Br3 O3'
_symmetry_space_group_name_H-M 'R -3 m'
_symmetry_Int_Tables_number 166
_symmetry_space_group_name_Hall '-R 3 2"'
_cell_length_a 3.7100
_cell_length_b 3.7100
_cell_length_c 22.0940
_cell_angle_alpha 90.00
_cell_angle_beta 90.00
_cell_angle_gamma 120.00
loop_
_atom_site_label
_atom_site_type_symbol
_atom_site_fract_x
_atom_site_fract_y
_atom_site_fract_z
Nd1 Nd 0.0000 0.0000 0.2271
Br1 Br 0.0000 0.0000 0.0000
O1 O 0.0000 0.0000 0.5000
# **Electronic total energy**: -0.434 Ry/atom
# **ΔE_f (raw)**: -1860.0 meV per atom

# NdBr3O6 (PBE, optimized geometry)
data_NdBr3O6
_chemical_formula_sum 'Nd2 Br6 O12'
_symmetry_space_group_name_H-M 'P 1 2/c 1'
_symmetry_Int_Tables_number 13
_cell_length_a 5.5576
_cell_length_b 6.4916
_cell_length_c 11.8914
_cell_angle_alpha 90.00
_cell_angle_beta 96.14
_cell_angle_gamma 90.00
loop_
_symmetry_equiv_pos_as_xyz
'x,y,z'
'-x,-y,-z'
'-x,y,-z+1/2'
'x,-y,z+1/2'
loop_
_atom_site_label
_atom_site_type_symbol
_atom_site_fract_x
_atom_site_fract_y
_atom_site_fract_z
Nd1 Nd 0.0000 0.1144 0.2500
Br1 Br 0.2029 0.3070 0.9656
Br2 Br 0.5000 0.4722 0.7500
O1 O 0.1721 0.1484 0.0808
O2 O 0.2343 0.1503 0.8474
O3 O 0.2944 0.3692 0.3123
# **Electronic total energy**: -0.336 Ry/atom
# **ΔE_f (raw)**: -616.0 meV per atom